Material: Y2TcB2
Method: DFT, PBEsol
State: relaxed

The structure in POSCAR format:
```
Y2TcB2
1.0
-1.510 1.510 8.561
1.510 -1.510 8.561
1.510 1.510 -8.561
Y Tc B
2 1 2
Direct
0.116 0.116 0.000
0.884 0.884 0.000
0.500 0.500 0.000
0.250 0.750 0.500
0.750 0.250 0.500
```

## Properties
symmetry	No. 139
D(E_F)	5.14	states/eV/cell
M_tot	0.24	μB/f.u.
calculated volume	15.61	A^3/atom
calculated formation energy	641	meV per atom